Here is TiHI2F at its PBEsol-relaxed geometry from Alexandria. Energies are from SCAN.

```
data_TiHI2F
_cell_length_a 5.003
_cell_length_b 5.003
_cell_length_c 3.488
_cell_angle_alpha 90.00
_cell_angle_beta 90.00
_cell_angle_gamma 90.00
_symmetry_space_group_name_H-M 'P 1'
_symmetry_Int_Tables_number 1
loop_
_symmetry_equiv_pos_as_xyz
'x,y,z'
loop_
_atom_site_label
_atom_site_type_symbol
_atom_site_fract_x
_atom_site_fract_y
_atom_site_fract_z
Ti1 Ti 0.000 0.000 0.000
H1 H 0.000 0.000 0.500
I1 I 0.000 0.500 0.500
I2 I 0.500 0.000 0.500
F1 F 0.500 0.500 0.000
```

Output
Spin magnetization in μB per formula unit: 0.11
N(E_F) in states/eV/f.u.: 2.506
VASP energy in eV/atom: -19.4691
Space-group type: No. 123
Theoretical density in g cm⁻³: 6.119